# 1
Computed, not measured: an optimized crystal structure of LiDy2GaS5 at the PBE level of DFT.

Structure (POSCAR):
```
LiDy2GaS5
1.0
1.883 -8.351 0.000
1.883 8.351 0.000
0.000 0.000 11.198
Li Dy Ga S
2 4 2 10
Direct
0.214 0.786 0.500
0.786 0.214 0.000
0.122 0.878 0.162
0.134 0.866 0.785
0.866 0.134 0.285
0.878 0.122 0.662
0.433 0.567 0.937
0.567 0.433 0.437
0.043 0.957 0.549
0.292 0.708 0.151
0.316 0.684 0.830
0.358 0.642 0.481
0.498 0.502 0.261
0.502 0.498 0.761
0.642 0.358 0.981
0.684 0.316 0.330
0.708 0.292 0.651
0.957 0.043 0.049
```

E: -5.411 eV/atom
space group: No. 36
crystal system: orthorhombic
size of the total moment: 0.00 Bohr magnetons per cell
formation energy from raw total energies: -35.66 kcal/mol of atoms

# 2
Computed, not measured: an optimized crystal structure of SmErMgHg at the PBE level of DFT.

Structure (POSCAR):
```
SmErMgHg
1.0
3.778 0.000 0.000
0.000 3.778 0.000
0.000 0.000 7.495
Sm Er Mg Hg
1 1 1 1
Direct
0.000 0.000 0.000
0.000 0.000 0.493
0.500 0.500 0.738
0.500 0.500 0.264
```

E: -3.071 eV/atom
formation energy from the elements: -0.276 eV per atom
space group: No. 99
crystal system: tetragonal
size of the total moment: 0.00 Bohr magnetons per cell

# 3
Computed, not measured: an optimized crystal structure of BaEu2Sc at the PBE level of DFT.

Structure (POSCAR):
```
BaEu2Sc
1.0
4.083 0.000 0.000
0.000 4.083 0.000
0.000 0.000 9.826
Ba Eu Sc
1 2 1
Direct
0.000 0.000 0.000
0.500 0.500 0.303
0.500 0.500 0.697
0.000 0.000 0.500
```

E: -7.051 eV/atom
formation energy from the elements: 0.150 eV per atom
space group: No. 123
crystal system: tetragonal
size of the total moment: 14.97 Bohr magnetons per cell

# 4
Computed, not measured: an optimized crystal structure of Er2UCo2 at the PBE level of DFT.

Structure (POSCAR):
```
Er2UCo2
1.0
5.161 -2.965 0.000
5.161 2.965 0.000
-1.252 0.000 6.644
Er U Co
4 2 4
Direct
0.046 0.256 0.145
0.256 0.046 0.645
0.744 0.954 0.355
0.954 0.744 0.855
0.428 0.572 0.250
0.572 0.428 0.750
0.229 0.478 0.485
0.478 0.229 0.985
0.522 0.771 0.015
0.771 0.522 0.515
```

E: -7.165 eV/atom
formation energy from the elements: -0.240 eV per atom
space group: No. 15
crystal system: monoclinic
size of the total moment: 0.00 Bohr magnetons per cell

# 5
Computed, not measured: an optimized crystal structure of LaCeTl at the PBE level of DFT.

Structure (POSCAR):
```
LaCeTl
1.0
-2.115 2.115 5.056
2.115 -2.115 5.056
2.115 2.115 -5.056
La Ce Tl
1 1 1
Direct
0.000 0.000 0.000
0.316 0.316 0.000
0.661 0.661 0.000
```

E: -4.566 eV/atom
formation energy from the elements: -0.157 eV per atom
space group: No. 107
crystal system: tetragonal
size of the total moment: 1.11 Bohr magnetons per cell

# 6
Computed, not measured: an optimized crystal structure of TaGa3Ni at the PBE level of DFT.

Structure (POSCAR):
```
TaGa3Ni
1.0
4.987 0.000 0.000
0.000 4.987 0.000
0.000 0.000 4.987
Ta Ga Ni
1 3 1
Direct
0.000 0.000 0.000
0.000 0.000 0.500
0.000 0.500 0.000
0.500 0.000 0.000
0.500 0.500 0.500
```

E: -4.282 eV/atom
formation energy from the elements: 1.061 eV per atom
space group: No. 221
crystal system: cubic
size of the total moment: 0.86 Bohr magnetons per cell

# 7
Computed, not measured: an optimized crystal structure of Sr3Ca2Pd2 at the PBE level of DFT.

Structure (POSCAR):
```
Sr3Ca2Pd2
1.0
6.855 -2.091 0.000
6.855 2.091 0.000
-3.305 0.000 8.422
Sr Ca Pd
3 2 2
Direct
0.000 0.000 0.000
0.125 0.125 0.435
0.875 0.875 0.565
0.321 0.321 0.172
0.679 0.679 0.828
0.318 0.318 0.793
0.682 0.682 0.207
```

E: -3.208 eV/atom
formation energy from the elements: -0.432 eV per atom
space group: No. 12
crystal system: monoclinic
size of the total moment: 0.00 Bohr magnetons per cell

# 8
Computed, not measured: an optimized crystal structure of Cs2TeI6F at the PBE level of DFT.

Structure (POSCAR):
```
Cs2TeI6F
1.0
-4.521 4.521 5.362
4.521 -4.521 5.362
4.521 4.521 -5.362
Cs Te I F
2 1 6 1
Direct
0.250 0.750 0.500
0.750 0.250 0.500
0.000 0.000 0.000
0.233 0.233 0.465
0.233 0.767 0.000
0.279 0.279 0.000
0.721 0.721 0.000
0.767 0.233 0.000
0.767 0.767 0.535
0.500 0.500 0.000
```

E: -2.448 eV/atom
space group: No. 139
crystal system: tetragonal
size of the total moment: 0.00 Bohr magnetons per cell
formation energy from raw total energies: -19.51 kcal/mol of atoms